MgZrBr | GGA-PBE | optimized geometry

Summary:
Energy relative to the elements, uncorrected = -58 meV per atom
Calculated volume = 22.98 Å³ per atom
Crystal system = hexagonal

a b c (Å): 4.8113 4.8113 3.4393
angles (deg): 90.00 90.00 120.00
Space group P-6m2 (No. 187)
Symmetry-distinct sites (fractional):
1 Mg 0.0000 0.0000 0.0000 x1
2 Zr 0.3333 0.6667 0.5000 x1
3 Br 0.6667 0.3333 0.5000 x1

=====

TlAsCl | GGA-PBE | optimized geometry

Summary:
Energy relative to the elements, uncorrected = -107 meV per atom
Calculated volume = 31.18 Å³ per atom
Crystal system = orthorhombic

a b c (Å): 3.4433 5.3088 10.2339
angles (deg): 90.00 90.00 90.00
Space group Imm2 (No. 44)
Symmetry-distinct sites (fractional):
1 Tl 0.0000 0.0000 0.0000 x2
2 As 0.0000 0.0000 0.4573 x2
3 Cl 0.0000 0.0000 0.6794 x2

=====

ThSc2Ti | GGA-PBE | optimized geometry

Summary:
Calculated volume = 24.45 Å³ per atom
Crystal system = trigonal
E_tot = -82.0 eV per cell

a b c (Å): 3.2633 3.2633 31.8147
angles (deg): 90.00 90.00 120.00
Space group R-3m (No. 166, hexagonal axes)
Symmetry-distinct sites (fractional):
1 Th 0.0000 0.0000 0.0000 x3
2 Sc 0.0000 0.0000 0.2411 x6
3 Ti 0.0000 0.0000 0.5000 x3

=====

ScInS | GGA-PBE | optimized geometry

Summary:
Energy relative to the elements, uncorrected = -928 meV per atom
Calculated volume = 24.38 Å³ per atom
Crystal system = trigonal

a b c (Å): 4.2660 4.2660 27.8416
angles (deg): 90.00 90.00 120.00
Space group R-3m (No. 166, hexagonal axes)
Symmetry-distinct sites (fractional):
1 Sc 0.0000 0.0000 0.1097 x6
2 In 0.0000 0.0000 0.3623 x6
3 S 0.0000 0.0000 0.2052 x6

=====

SrCeMgTl | GGA-PBE | optimized geometry

Summary:
Calculated volume = 31.96 Å³ per atom
Crystal system = cubic
E_tot = -48.1 eV per cell

a b c (Å): 7.9966 7.9966 7.9966
angles (deg): 90.00 90.00 90.00
Space group F-43m (No. 216)
Symmetry-distinct sites (fractional):
1 Sr 0.0000 0.0000 0.0000 x4
2 Ce 0.0000 0.0000 0.5000 x4
3 Mg 0.2500 0.2500 0.2500 x4
4 Tl 0.2500 0.2500 0.7500 x4

=====

AcPrZn | GGA-PBE | optimized geometry

Summary:
Calculated volume = 34.81 Å³ per atom
Crystal system = cubic
E_tot = -40.2 eV per cell

a b c (Å): 7.4752 7.4752 7.4752
angles (deg): 90.00 90.00 90.00
Space group F-43m (No. 216)
Symmetry-distinct sites (fractional):
1 Ac 0.0000 0.0000 0.0000 x4
2 Pr 0.0000 0.0000 0.5000 x4
3 Zn 0.2500 0.2500 0.7500 x4

=====

SmGd2I | GGA-PBE | optimized geometry

Summary:
Energy relative to the elements, uncorrected = -327 meV per atom
Calculated volume = 32.76 Å³ per atom
Crystal system = tetragonal

a b c (Å): 3.6948 3.6948 9.5993
angles (deg): 90.00 90.00 90.00
Space group P4/mmm (No. 123)
Symmetry-distinct sites (fractional):
1 Sm 0.0000 0.0000 0.0000 x1
2 Gd 0.5000 0.5000 0.2572 x2
3 I 0.0000 0.0000 0.5000 x1

=====

Pr3Dy6Mg | GGA-PBE | optimized geometry

Summary:
Calculated volume = 33.57 Å³ per atom
Crystal system = orthorhombic
E_tot = -166.5 eV per cell

a b c (Å): 11.3820 12.5632 9.3909
angles (deg): 90.00 90.00 90.00
Space group Cmc2_1 (No. 36)
Symmetry-distinct sites (fractional):
1 Pr 0.0000 0.1416 0.0000 x4
2 Pr 0.1907 0.3795 0.1417 x8
3 Dy 0.0000 0.2537 0.3323 x4
4 Dy 0.0000 0.4492 0.8390 x4
5 Dy 0.1718 0.0618 0.3329 x8
6 Dy 0.1793 0.3593 0.5363 x8
7 Mg 0.0000 0.1242 0.6289 x4

=====

Dy2Tm2Ag3 | GGA-PBE | optimized geometry

Summary:
Calculated volume = 26.01 Å³ per atom
Crystal system = triclinic
E_tot = -27.9 eV per cell

a b c (Å): 5.0432 5.0464 8.7419
angles (deg): 73.47 73.29 60.13
Space group P-1 (No. 2)
Symmetry-distinct sites (fractional):
1 Dy 0.1263 0.1275 0.1206 x2
2 Tm 0.3764 0.3771 0.3705 x2
3 Ag 0.0000 0.0000 0.5000 x1
4 Ag 0.2511 0.2503 0.7472 x2

=====

Rb2Ag2SnBr6 | GGA-PBE | optimized geometry

Summary:
Energy relative to the elements, uncorrected = -957 meV per atom
Calculated volume = 37.71 Å³ per atom
Crystal system = monoclinic

a b c (Å): 14.3494 8.1740 8.1176
angles (deg): 90.00 119.38 90.00
Space group C2/m (No. 12)
Symmetry-distinct sites (fractional):
1 Rb 0.2362 0.0000 0.1916 x4
2 Ag 0.0600 0.5000 0.2090 x4
3 Sn 0.0000 0.0000 0.5000 x2
4 Br 0.0610 0.2462 0.8108 x8
5 Br 0.2312 0.0000 0.6123 x4

=====

ScBePRh2 | GGA-PBE | optimized geometry

Summary:
Calculated volume = 19.04 Å³ per atom
Crystal system = tetragonal
E_tot = -24.0 eV per cell

a b c (Å): 4.6108 4.6108 4.4780
angles (deg): 90.00 90.00 90.00
Space group P4/mmm (No. 123)
Symmetry-distinct sites (fractional):
1 Sc 0.0000 0.0000 0.0000 x1
2 Be 0.0000 0.0000 0.5000 x1
3 P 0.5000 0.5000 0.5000 x1
4 Rh 0.0000 0.5000 0.0000 x2

=====

PmThPdRh | GGA-PBE | optimized geometry

Summary:
Calculated volume = 22.93 Å³ per atom
Crystal system = cubic
E_tot = -110.1 eV per cell

a b c (Å): 7.1589 7.1589 7.1589
angles (deg): 90.00 90.00 90.00
Space group F-43m (No. 216)
Symmetry-distinct sites (fractional):
1 Pm 0.0000 0.0000 0.0000 x4
2 Th 0.0000 0.0000 0.5000 x4
3 Pd 0.2500 0.2500 0.7500 x4
4 Rh 0.2500 0.2500 0.2500 x4

=====

VFe4Co | GGA-PBE | optimized geometry

Summary:
Calculated volume = 15.22 Å³ per atom
Crystal system = tetragonal
E_tot = -175.8 eV per cell

a b c (Å): 6.5862 6.5862 8.4189
angles (deg): 90.00 90.00 90.00
Space group I4_1md (No. 109)
Symmetry-distinct sites (fractional):
1 V 0.0000 0.0000 0.0000 x4
2 Fe 0.0000 0.1729 0.7487 x8
3 Fe 0.0000 0.1736 0.2669 x8
4 Co 0.0000 0.0000 0.5081 x4

=====

ZnS | GGA-PBE | optimized geometry

Summary:
Energy relative to the elements, uncorrected = -807 meV per atom
Calculated volume = 20.18 Å³ per atom
Crystal system = hexagonal

a b c (Å): 3.8495 3.8495 44.0292
angles (deg): 90.00 90.00 120.00
Space group P6_3mc (No. 186)
Symmetry-distinct sites (fractional):
1 Zn 0.0000 0.0000 0.0000 x2
2 Zn 0.0000 0.0000 0.2142 x2
3 Zn 0.3333 0.6667 0.0714 x2
4 Zn 0.3333 0.6667 0.2856 x2
5 Zn 0.3333 0.6667 0.4286 x2
6 Zn 0.3333 0.6667 0.6428 x2
7 Zn 0.3333 0.6667 0.8571 x2
8 S 0.0000 0.0000 0.0536 x2
9 S 0.0000 0.0000 0.2678 x2
10 S 0.3333 0.6667 0.1250 x2
11 S 0.3333 0.6667 0.3392 x2
12 S 0.3333 0.6667 0.4821 x2
13 S 0.3333 0.6667 0.6963 x2
14 S 0.3333 0.6667 0.9107 x2

=====

TePdPb2 | GGA-PBE | optimized geometry

Summary:
Energy relative to the elements, uncorrected = -37 meV per atom
Calculated volume = 36.98 Å³ per atom
Crystal system = tetragonal

a b c (Å): 6.6884 6.6884 13.2262
angles (deg): 90.00 90.00 90.00
Space group I-42d (No. 122)
Symmetry-distinct sites (fractional):
1 Te 0.0000 0.0000 0.0000 x4
2 Pd 0.0000 0.0000 0.5000 x4
3 Pb 0.1970 0.2500 0.6250 x8

=====

B2CS | GGA-PBE | optimized geometry

Summary:
Energy relative to the elements, uncorrected = 860 meV per atom
Calculated volume = 8.64 Å³ per atom
Crystal system = trigonal

a b c (Å): 2.7630 2.7630 15.6872
angles (deg): 90.00 90.00 120.00
Space group R-3m (No. 166, hexagonal axes)
Symmetry-distinct sites (fractional):
1 B 0.0000 0.0000 0.1176 x6
2 C 0.0000 0.0000 0.5000 x3
3 S 0.0000 0.0000 0.0000 x3

=====

TbCdSnPt | GGA-PBE | optimized geometry

Summary:
Calculated volume = 21.72 Å³ per atom
Crystal system = cubic
E_tot = -71.8 eV per cell

a b c (Å): 7.0306 7.0306 7.0306
angles (deg): 90.00 90.00 90.00
Space group F-43m (No. 216)
Symmetry-distinct sites (fractional):
1 Tb 0.0000 0.0000 0.0000 x4
2 Cd 0.2500 0.2500 0.7500 x4
3 Sn 0.0000 0.0000 0.5000 x4
4 Pt 0.2500 0.2500 0.2500 x4

=====

HfSc2Tl | GGA-PBE | optimized geometry

Summary:
Calculated volume = 22.93 Å³ per atom
Crystal system = cubic
E_tot = -99.1 eV per cell

a b c (Å): 7.1589 7.1589 7.1589
angles (deg): 90.00 90.00 90.00
Space group Fm-3m (No. 225)
Symmetry-distinct sites (fractional):
1 Hf 0.0000 0.0000 0.0000 x4
2 Sc 0.2500 0.2500 0.2500 x8
3 Tl 0.0000 0.0000 0.5000 x4

=====

AlSb2Rh | GGA-PBE | optimized geometry

Summary:
Energy relative to the elements, uncorrected = 209 meV per atom
Calculated volume = 20.64 Å³ per atom
Crystal system = cubic

a b c (Å): 6.9124 6.9124 6.9124
angles (deg): 90.00 90.00 90.00
Space group F-43m (No. 216)
Symmetry-distinct sites (fractional):
1 Al 0.0000 0.0000 0.0000 x4
2 Sb 0.0000 0.0000 0.5000 x4
3 Sb 0.2500 0.2500 0.2500 x4
4 Rh 0.2500 0.2500 0.7500 x4

=====

NdYNiPd | GGA-PBE | optimized geometry

Summary:
Calculated volume = 21.82 Å³ per atom
Crystal system = cubic
E_tot = -97.2 eV per cell

a b c (Å): 7.0419 7.0419 7.0419
angles (deg): 90.00 90.00 90.00
Space group F-43m (No. 216)
Symmetry-distinct sites (fractional):
1 Nd 0.0000 0.0000 0.0000 x4
2 Y 0.0000 0.0000 0.5000 x4
3 Ni 0.2500 0.2500 0.2500 x4
4 Pd 0.2500 0.2500 0.7500 x4

=====

Er2LuSb | GGA-PBE | optimized geometry

Summary:
Energy relative to the elements, uncorrected = -264 meV per atom
Calculated volume = 28.81 Å³ per atom
Crystal system = trigonal

a b c (Å): 3.5653 3.5653 31.4035
angles (deg): 90.00 90.00 120.00
Space group R-3m (No. 166, hexagonal axes)
Symmetry-distinct sites (fractional):
1 Er 0.0000 0.0000 0.2447 x6
2 Lu 0.0000 0.0000 0.0000 x3
3 Sb 0.0000 0.0000 0.5000 x3

=====

Number 1: M_tot 0.00 μB per formula unit. Number 2: M_tot 0.00 μB per formula unit. Number 3: M_tot 0.00 μB per formula unit. Number 4: M_tot 0.00 μB per formula unit. Number 5: M_tot 1.15 μB per formula unit. Number 6: M_tot 0.00 μB per formula unit. Number 7: M_tot 14.85 μB per formula unit. Number 8: M_tot 0.00 μB per formula unit. Number 9: M_tot 0.00 μB per formula unit. Number 10: M_tot 0.00 μB per formula unit. Number 11: M_tot 0.00 μB per formula unit. Number 12: M_tot 0.00 μB per formula unit. Number 13: M_tot 9.61 μB per formula unit. Number 14: M_tot 0.00 μB per formula unit. Number 15: M_tot 0.00 μB per formula unit. Number 16: M_tot 0.00 μB per formula unit. Number 17: M_tot 0.00 μB per formula unit. Number 18: M_tot 2.52 μB per formula unit. Number 19: M_tot 0.00 μB per formula unit. Number 20: M_tot 0.00 μB per formula unit. Number 21: M_tot 0.00 μB per formula unit.